# 1
# BeRuPt2 (PBE-GGA, relaxed)
# Space-group type   Pm, No. 6
# Magnetization   0.00 μB/atom
# Energy of formation   -0.157 eV/atom
data_BeRuPt2
_cell_length_a 2.7602
_cell_length_b 3.9259
_cell_length_c 5.2495
_cell_angle_alpha 90.00
_cell_angle_beta 105.04
_cell_angle_gamma 90.00
_symmetry_space_group_name_H-M 'P 1'
_symmetry_Int_Tables_number 1
loop_
_symmetry_equiv_pos_as_xyz
'x,y,z'
loop_
_atom_site_label
_atom_site_fract_x
_atom_site_fract_y
_atom_site_fract_z
Be1 0.0000 0.0000 0.0000
Ru1 0.4093 0.5000 0.7952
Pt1 0.1373 0.5000 0.2506
Pt2 0.7844 0.0000 0.5452

***

# 2
# Na2LiF4 (PBE-GGA, relaxed)
# Space-group type   Imma, No. 74
# Formation energy without anion corrections   -222.9 kJ/mol of atoms
# Magnetization   0.14 μB/atom
data_Na2LiF4
_cell_length_a 6.4506
_cell_length_b 6.4506
_cell_length_c 6.4506
_cell_angle_alpha 120.03
_cell_angle_beta 119.89
_cell_angle_gamma 90.07
_symmetry_space_group_name_H-M 'P 1'
_symmetry_Int_Tables_number 1
loop_
_symmetry_equiv_pos_as_xyz
'x,y,z'
loop_
_atom_site_label
_atom_site_fract_x
_atom_site_fract_y
_atom_site_fract_z
Na1 0.0000 0.0000 0.0000
Na2 0.5000 0.0000 0.0000
Na3 0.5000 0.0000 0.5000
Na4 0.5000 0.5000 0.5000
Li1 0.1242 0.3742 0.7500
Li2 0.8758 0.6258 0.2500
F1 0.2440 0.7480 0.4960
F2 0.2473 0.2516 0.5043
F3 0.2473 0.7429 0.9957
F4 0.2480 0.2520 0.9960
F5 0.7520 0.7480 0.0040
F6 0.7527 0.2571 0.0043
F7 0.7527 0.7484 0.4957
F8 0.7560 0.2520 0.5040

***

# 3
# NpSClO6 (PBE-GGA, relaxed)
# Space-group type   P312, No. 149
# Formation energy without anion corrections   -107.5 kJ/mol of atoms
# Magnetization   0.20 μB/atom
data_NpSClO6
_cell_length_a 5.1770
_cell_length_b 5.1770
_cell_length_c 7.1661
_cell_angle_alpha 90.00
_cell_angle_beta 90.00
_cell_angle_gamma 120.00
_symmetry_space_group_name_H-M 'P 1'
_symmetry_Int_Tables_number 1
loop_
_symmetry_equiv_pos_as_xyz
'x,y,z'
loop_
_atom_site_label
_atom_site_fract_x
_atom_site_fract_y
_atom_site_fract_z
Np1 0.0000 0.0000 0.0000
S1 0.3333 0.6667 0.0000
Cl1 0.6667 0.3333 0.5000
O1 0.0715 0.3947 0.1336
O2 0.0715 0.6768 0.8664
O3 0.3232 0.3947 0.8664
O4 0.3232 0.9285 0.1336
O5 0.6053 0.6768 0.1336
O6 0.6053 0.9285 0.8664

***

# 4
# Zr4UP5 (PBE-GGA, relaxed)
# Space-group type   C2/m, No. 12
# Magnetization   0.18 μB/atom
# Energy of formation   -1.300 eV/atom
data_Zr4UP5
_cell_length_a 6.5541
_cell_length_b 6.5541
_cell_length_c 9.2774
_cell_angle_alpha 118.38
_cell_angle_beta 118.38
_cell_angle_gamma 33.47
_symmetry_space_group_name_H-M 'P 1'
_symmetry_Int_Tables_number 1
loop_
_symmetry_equiv_pos_as_xyz
'x,y,z'
loop_
_atom_site_label
_atom_site_fract_x
_atom_site_fract_y
_atom_site_fract_z
Zr1 0.1005 0.1005 0.4055
Zr2 0.3041 0.3041 0.2072
Zr3 0.6959 0.6959 0.7928
Zr4 0.8995 0.8995 0.5945
U1 0.5000 0.5000 0.0000
P1 0.1029 0.1029 0.8986
P2 0.2999 0.2999 0.6965
P3 0.5000 0.5000 0.5000
P4 0.7001 0.7001 0.3035
P5 0.8971 0.8971 0.1014

***

# 5
# Tl2In2Hg7 (PBE-GGA, relaxed)
# Space-group type   P-1, No. 2
# Magnetization   0.00 μB/atom
# Energy of formation   0.000 eV/atom
data_Tl2In2Hg7
_cell_length_a 3.7328
_cell_length_b 9.0868
_cell_length_c 9.2931
_cell_angle_alpha 97.93
_cell_angle_beta 90.25
_cell_angle_gamma 99.60
_symmetry_space_group_name_H-M 'P 1'
_symmetry_Int_Tables_number 1
loop_
_symmetry_equiv_pos_as_xyz
'x,y,z'
loop_
_atom_site_label
_atom_site_fract_x
_atom_site_fract_y
_atom_site_fract_z
Tl1 0.1771 0.3449 0.4047
Tl2 0.8229 0.6551 0.5953
In1 0.0989 0.1938 0.9666
In2 0.9011 0.8062 0.0334
Hg1 0.0000 0.0000 0.5000
Hg2 0.2746 0.5422 0.8635
Hg3 0.3578 0.7258 0.3086
Hg4 0.4619 0.9317 0.7823
Hg5 0.5381 0.0683 0.2177
Hg6 0.6422 0.2742 0.6914
Hg7 0.7254 0.4578 0.1365

***

# 6
# Ba3PmSm3Te8 (PBE-GGA, relaxed)
# Space-group type   C2/m, No. 12
# Formation energy without anion corrections   -151.0 kJ/mol of atoms
# Magnetization   0.00 μB/atom
data_Ba3PmSm3Te8
_cell_length_a 9.1283
_cell_length_b 9.1283
_cell_length_c 9.5893
_cell_angle_alpha 118.38
_cell_angle_beta 118.38
_cell_angle_gamma 60.02
_symmetry_space_group_name_H-M 'P 1'
_symmetry_Int_Tables_number 1
loop_
_symmetry_equiv_pos_as_xyz
'x,y,z'
loop_
_atom_site_label
_atom_site_fract_x
_atom_site_fract_y
_atom_site_fract_z
Ba1 0.0000 0.0000 0.0000
Ba2 0.0000 0.5000 0.0000
Ba3 0.5000 0.0000 0.0000
Pm1 0.0000 0.0000 0.5000
Sm1 0.0000 0.5000 0.5000
Sm2 0.5000 0.0000 0.5000
Sm3 0.5000 0.5000 0.5000
Te1 0.2429 0.2429 0.7217
Te2 0.2431 0.7357 0.7219
Te3 0.2594 0.2594 0.2783
Te4 0.2643 0.7569 0.2781
Te5 0.7357 0.2431 0.7219
Te6 0.7406 0.7406 0.7217
Te7 0.7569 0.2643 0.2781
Te8 0.7571 0.7571 0.2783

***

# 7
# SrMnOsCl2 (PBE-GGA, relaxed)
# Space-group type   P4/mmm, No. 123
# Formation energy without anion corrections   67.4 kJ/mol of atoms
# Magnetization   1.76 μB/atom
data_SrMnOsCl2
_cell_length_a 5.3997
_cell_length_b 5.3997
_cell_length_c 6.6822
_cell_angle_alpha 90.00
_cell_angle_beta 90.00
_cell_angle_gamma 90.00
_symmetry_space_group_name_H-M 'P 1'
_symmetry_Int_Tables_number 1
loop_
_symmetry_equiv_pos_as_xyz
'x,y,z'
loop_
_atom_site_label
_atom_site_fract_x
_atom_site_fract_y
_atom_site_fract_z
Sr1 0.0000 0.0000 0.0000
Mn1 0.5000 0.5000 0.5000
Os1 0.0000 0.0000 0.5000
Cl1 0.0000 0.5000 0.0000
Cl2 0.5000 0.0000 0.0000

***

# 8
# Ba2TeBr4O2 (PBE-GGA, relaxed)
# Space-group type   C2/m, No. 12
# Formation energy without anion corrections   -141.9 kJ/mol of atoms
# Magnetization   0.00 μB/atom
data_Ba2TeBr4O2
_cell_length_a 7.6171
_cell_length_b 7.6171
_cell_length_c 5.0503
_cell_angle_alpha 96.98
_cell_angle_beta 96.98
_cell_angle_gamma 70.31
_symmetry_space_group_name_H-M 'P 1'
_symmetry_Int_Tables_number 1
loop_
_symmetry_equiv_pos_as_xyz
'x,y,z'
loop_
_atom_site_label
_atom_site_fract_x
_atom_site_fract_y
_atom_site_fract_z
Ba1 0.2158 0.2158 0.3210
Ba2 0.7842 0.7842 0.6790
Te1 0.5000 0.5000 0.0000
Br1 0.1034 0.6693 0.2232
Br2 0.3307 0.8966 0.7768
Br3 0.6693 0.1034 0.2232
Br4 0.8966 0.3307 0.7768
O1 0.3715 0.3715 0.7258
O2 0.6285 0.6285 0.2742

***

# 9
# MgSc2Be (PBE-GGA, relaxed)
# Space-group type   C2/m, No. 12
# Magnetization   0.00 μB/atom
# Energy of formation   0.225 eV/atom
data_MgSc2Be
_cell_length_a 4.9219
_cell_length_b 4.9219
_cell_length_c 5.6032
_cell_angle_alpha 101.82
_cell_angle_beta 101.82
_cell_angle_gamma 38.52
_symmetry_space_group_name_H-M 'P 1'
_symmetry_Int_Tables_number 1
loop_
_symmetry_equiv_pos_as_xyz
'x,y,z'
loop_
_atom_site_label
_atom_site_fract_x
_atom_site_fract_y
_atom_site_fract_z
Mg1 0.0000 0.0000 0.0000
Sc1 0.2347 0.2347 0.7227
Sc2 0.7653 0.7653 0.2773
Be1 0.5000 0.5000 0.5000

***

# 10
# SnTePd (PBE-GGA, relaxed)
# Space-group type   P2_1/c, No. 14
# Formation energy without anion corrections   -31.6 kJ/mol of atoms
# Magnetization   0.00 μB/atom
data_SnTePd
_cell_length_a 7.0122
_cell_length_b 7.0366
_cell_length_c 7.0447
_cell_angle_alpha 90.00
_cell_angle_beta 118.74
_cell_angle_gamma 90.00
_symmetry_space_group_name_H-M 'P 1'
_symmetry_Int_Tables_number 1
loop_
_symmetry_equiv_pos_as_xyz
'x,y,z'
loop_
_atom_site_label
_atom_site_fract_x
_atom_site_fract_y
_atom_site_fract_z
Sn1 0.0560 0.2062 0.1526
Sn2 0.0560 0.2938 0.6526
Sn3 0.9440 0.7062 0.3474
Sn4 0.9440 0.7938 0.8474
Te1 0.3814 0.5154 0.2080
Te2 0.3814 0.9846 0.7080
Te3 0.6186 0.0154 0.2920
Te4 0.6186 0.4846 0.7920
Pd1 0.2482 0.6344 0.7749
Pd2 0.2482 0.8656 0.2749
Pd3 0.7518 0.1344 0.7251
Pd4 0.7518 0.3656 0.2251

***

# 11
# Sr2ZrBr8 (PBE-GGA, relaxed)
# Space-group type   C2/m, No. 12
# Formation energy without anion corrections   -164.6 kJ/mol of atoms
# Magnetization   0.00 μB/atom
data_Sr2ZrBr8
_cell_length_a 8.6627
_cell_length_b 8.6627
_cell_length_c 7.5493
_cell_angle_alpha 91.27
_cell_angle_beta 91.27
_cell_angle_gamma 46.99
_symmetry_space_group_name_H-M 'P 1'
_symmetry_Int_Tables_number 1
loop_
_symmetry_equiv_pos_as_xyz
'x,y,z'
loop_
_atom_site_label
_atom_site_fract_x
_atom_site_fract_y
_atom_site_fract_z
Sr1 0.1377 0.1377 0.0407
Sr2 0.8623 0.8623 0.9593
Zr1 0.0000 0.0000 0.5000
Br1 0.1645 0.1645 0.4478
Br2 0.2328 0.7252 0.2400
Br3 0.2748 0.7672 0.7600
Br4 0.3122 0.3122 0.9269
Br5 0.6878 0.6878 0.0731
Br6 0.7252 0.2328 0.2400
Br7 0.7672 0.2748 0.7600
Br8 0.8355 0.8355 0.5522